Here is MnTeAs2 after structural relaxation from Alexandria. Energies are from GGA-PBE.

**Formation energy from raw total energies**: 0.175 eV per atom
**DOS(E_F)**: 2.5 states/eV per cell
**Final energy**: -5.23 eV per atom

a b c (Å): 3.341 3.341 7.497
angles (deg): 90.00 90.00 90.00
Each line ends with the local moment (μB).
Sites, in units of the cell vectors:
1 As 0.500 0.500 0.282  -0.08
2 As 0.000 0.000 0.089  -0.04
3 Mn 0.000 0.000 0.450  3.01
4 Te 0.500 0.500 0.678  -0.12

Here is MnTeAs2 after structural relaxation from Alexandria. Energies are from GGA-PBE.

**Formation energy from raw total energies**: 0.386 eV per atom
**DOS(E_F)**: 3.2 states/eV per cell
**Final energy**: -5.02 eV per atom

a b c (Å): 3.914 3.895 5.668
angles (deg): 90.00 90.00 90.00
Each line ends with the local moment (μB).
Sites, in units of the cell vectors:
1 As 0.500 0.500 0.000  -0.05
2 As 0.000 0.000 0.000  -0.05
3 Te 0.000 0.500 0.500  -0.03
4 Mn 0.500 0.000 0.500  3.95

Here is MnTeAs2 after structural relaxation from Alexandria. Energies are from GGA-PBE.

**Formation energy from raw total energies**: 0.089 eV per atom
**DOS(E_F)**: 1.9 states/eV per cell
**Final energy**: -5.31 eV per atom

a b c (Å): 9.212 9.212 9.212
angles (deg): 20.07 20.07 20.07
Each line ends with the local moment (μB).
Sites, in units of the cell vectors:
1 As 0.523 0.523 0.523  -0.10
2 As 0.977 0.977 0.977  -0.10
3 Mn 0.250 0.250 0.250  2.27
4 Te 0.750 0.750 0.750  -0.08